1.
Below is crystalline TmNi2Sn at its relaxed geometry, with properties calculated at the PBE level.

Properties
- formation enthalpy at 0 K (eV per atom) = -0.4855

abc: 4.2756 6.7342 9.6792
angles: 90.00 90.00 90.00
Element x y z (fractional)
Sn (0.2500, 0.9412, 0.3677)
Sn (0.2500, 0.4412, 0.1323)
Sn (0.7500, 0.5588, 0.8677)
Sn (0.7500, 0.0588, 0.6323)
Ni (0.2500, 0.0503, 0.0982)
Ni (0.2500, 0.2469, 0.5424)
Ni (0.7500, 0.2531, 0.0424)
Ni (0.7500, 0.4497, 0.5982)
Ni (0.7500, 0.7531, 0.4576)
Ni (0.2500, 0.5503, 0.4018)
Ni (0.2500, 0.7469, 0.9576)
Ni (0.7500, 0.9497, 0.9018)
Tm (0.7500, 0.2840, 0.3399)
Tm (0.2500, 0.7160, 0.6601)
Tm (0.2500, 0.2160, 0.8399)
Tm (0.7500, 0.7840, 0.1601)

2.
Below is crystalline Zr2CuCl at its relaxed geometry, with properties calculated at the PBE level.

Properties
- E_form (uncorrected) (eV/f.u.) = -1.18

abc: 3.1180 3.1180 7.5109
angles: 90.00 90.00 90.00
Element x y z (fractional)
Cl (0.5000, 0.5000, 0.2500)
Zr (0.0000, 0.0000, 0.9814)
Zr (0.0000, 0.0000, 0.5186)
Cu (0.5000, 0.5000, 0.7500)

3.
Below is crystalline Cd7Hg6 at its relaxed geometry, with properties calculated at the PBE level.

Properties
- formation enthalpy at 0 K (eV per atom) = 0.0528

abc: 11.8928 11.8928 11.8928
angles: 28.05 28.05 28.05
Element x y z (fractional)
Cd (0.5000, 0.5000, 0.5000)
Cd (0.9140, 0.4116, 0.4116)
Cd (0.5884, 0.5884, 0.0860)
Cd (0.0860, 0.5884, 0.5884)
Cd (0.5884, 0.0860, 0.5884)
Cd (0.4116, 0.4116, 0.9140)
Cd (0.4116, 0.9140, 0.4116)
Hg (0.8482, 0.8482, 0.8482)
Hg (0.1519, 0.1519, 0.1519)
Hg (0.0440, 0.0440, 0.0440)
Hg (0.3344, 0.3344, 0.3344)
Hg (0.9560, 0.9560, 0.9560)
Hg (0.6656, 0.6656, 0.6656)

4.
Below is crystalline Li2AcIn at its relaxed geometry, with properties calculated at the PBE level.

Properties
- formation enthalpy at 0 K (eV per atom) = -0.0900

abc: 3.7842 3.7842 7.3647
angles: 90.00 90.00 90.00
Element x y z (fractional)
Li (0.0000, 0.0000, 0.8137)
Li (0.0000, 0.0000, 0.1863)
Ac (0.5000, 0.5000, 0.5000)
In (0.5000, 0.5000, 0.0000)

5.
Below is crystalline TiTl2CdSe at its relaxed geometry, with properties calculated at the PBE level.

Properties
- E_form (uncorrected) (eV/f.u.) = 4.33

abc: 5.8110 5.0745 5.8110
angles: 90.00 90.00 90.00
Element x y z (fractional)
Tl (0.5000, 0.0000, 0.0000)
Tl (0.0000, 0.0000, 0.5000)
Se (0.0000, 0.0000, 0.0000)
Cd (0.0000, 0.5000, 0.0000)
Ti (0.5000, 0.5000, 0.5000)

6.
Below is crystalline ZrRe2Tc2 at its relaxed geometry, with properties calculated at the PBE level.

Properties
- formation enthalpy at 0 K (eV per atom) = 0.0568

abc: 7.6724 7.6724 2.8090
angles: 90.00 90.00 90.00
Element x y z (fractional)
Zr (0.0000, 0.0000, 0.0000)
Zr (0.5000, 0.5000, 0.0000)
Re (0.3745, 0.8745, 0.0000)
Re (0.6255, 0.1255, 0.0000)
Re (0.8745, 0.6255, 0.0000)
Re (0.1255, 0.3745, 0.0000)
Tc (0.6694, 0.8306, 0.5000)
Tc (0.3306, 0.1694, 0.5000)
Tc (0.8306, 0.3306, 0.5000)
Tc (0.1694, 0.6694, 0.5000)